## LaSm5Sb4 (GGA-PBE)

Data for an optimized crystal structure of LaSm5Sb4.

Cell and atoms, written as POSCAR:
```
LaSm5Sb4
1.0
4.429 0.000 0.000
0.000 8.711 -0.647
-2.215 -1.926 9.410
Sb Sm La
4 5 1
Cartesian
0.000 2.260 -0.011
2.214 4.525 8.774
0.000 6.646 5.579
2.215 0.139 3.184
2.215 4.447 5.673
2.215 0.167 6.258
2.215 4.356 -0.324
0.000 2.339 3.090
0.000 6.618 2.505
2.215 0.000 0.000
```

Properties
VASP energy, eV per cell: -52.85
V, Å³ per atom: 35.756
Energy relative to the elements, uncorrected, eV per atom: -0.78



## Li2HfNb3N6 (GGA-PBE)

Data for an optimized crystal structure of Li2HfNb3N6.

Cell and atoms, written as POSCAR:
```
Li2HfNb3N6
1.0
-0.016 -1.942 -4.979
2.130 -2.874 3.971
-5.274 -0.653 1.197
N Hf Li Nb
6 1 2 3
Cartesian
-1.177 -1.204 -1.422
-2.692 -3.957 -1.345
-1.983 -4.265 1.611
-0.468 -1.511 1.534
0.214 -3.841 -0.451
-3.374 -1.628 0.640
0.000 0.000 0.000
1.410 -2.561 0.967
0.704 -2.255 -1.975
-2.273 -2.434 -2.794
-1.580 -2.734 0.094
-0.887 -3.035 2.983
```

Properties
VASP energy, eV per cell: -107.55
V, Å³ per atom: 10.668
Energy relative to the elements, uncorrected, eV per atom: -1.13



## MgTa2W (GGA-PBE)

Data for an optimized crystal structure of MgTa2W.

Cell and atoms, written as POSCAR:
```
MgTa2W
1.0
4.640 0.000 0.000
0.000 2.780 0.001
0.000 0.913 5.539
Mg Ta W
1 2 1
Cartesian
2.320 2.770 4.155
0.000 1.796 2.695
0.000 0.051 0.075
2.320 0.923 1.385
```

Properties
VASP energy, eV per cell: -37.40
V, Å³ per atom: 17.861



## Ag2SbO4 (GGA-PBE)

Data for an optimized crystal structure of Ag2SbO4.

Cell and atoms, written as POSCAR:
```
Ag2SbO4
1.0
-4.532 3.436 0.471
0.901 -3.844 4.121
3.632 4.344 3.258
O Sb Ag
8 2 4
Cartesian
-2.607 -0.293 3.296
3.175 1.336 4.504
-1.358 2.804 1.050
-1.024 -0.115 1.295
1.359 -0.836 2.875
0.792 2.057 2.925
0.458 4.976 2.679
-0.791 1.879 4.925
-0.907 0.882 3.110
0.908 3.054 4.740
-3.470 2.013 1.184
-0.160 -2.421 3.407
1.656 -0.249 5.036
-1.655 4.185 2.813
```

Properties
Offset from the most stable computed form, meV per atom: 389.8
VASP energy, eV per cell: -63.40
V, Å³ per atom: 13.403
Energy relative to the elements, uncorrected, eV per atom: -0.29



## Y2IrSe (GGA-PBE)

Data for an optimized crystal structure of Y2IrSe.

Cell and atoms, written as POSCAR:
```
Y2IrSe
1.0
-2.591 -2.106 2.230
1.099 -3.537 1.550
1.848 1.398 7.082
Ir Se Y
1 1 2
Cartesian
-0.989 -3.754 2.535
0.175 -2.127 5.424
0.023 -1.154 2.551
1.325 0.667 5.783
```

Properties
VASP energy, eV per cell: -30.01
V, Å³ per atom: 24.721
Energy relative to the elements, uncorrected, eV per atom: -1.19



## Sn3HSe (GGA-PBE)

Data for an optimized crystal structure of Sn3HSe.

Cell and atoms, written as POSCAR:
```
Sn3HSe
1.0
4.800 0.000 0.000
0.000 4.800 0.000
0.000 0.000 4.800
Sn Se H
3 1 1
Cartesian
0.000 0.000 2.400
2.400 0.000 0.000
0.000 2.400 0.000
2.400 2.400 2.400
0.000 0.000 0.000
```

Properties
Offset from the most stable computed form, meV per atom: 0.0
VASP energy, eV per cell: -17.52
V, Å³ per atom: 22.112



## CuSnHg2F6 (GGA-PBE)

Data for an optimized crystal structure of CuSnHg2F6.

Cell and atoms, written as POSCAR:
```
CuSnHg2F6
1.0
6.124 0.487 0.595
0.250 7.489 0.002
3.606 3.974 4.032
F Hg Sn Cu
6 2 1 1
Cartesian
4.640 5.259 0.755
1.750 5.328 0.601
6.957 8.550 2.340
3.023 3.400 2.290
8.230 6.622 4.029
5.340 6.691 3.875
3.888 7.771 1.661
6.092 4.179 2.969
3.187 3.988 0.299
0.000 0.000 0.000
```

Properties
VASP energy, eV per cell: -36.25
V, Å³ per atom: 16.890
Energy relative to the elements, uncorrected, eV per atom: -1.63



## Nd2HoEr3S6 (GGA-PBE)

Data for an optimized crystal structure of Nd2HoEr3S6.

Cell and atoms, written as POSCAR:
```
Nd2HoEr3S6
1.0
3.909 0.000 0.000
0.000 7.943 0.238
-1.955 -2.338 8.273
S Er Nd Ho
6 3 2 1
Cartesian
1.955 -0.340 8.253
1.955 -0.219 2.763
1.955 3.964 2.820
0.000 5.945 0.258
0.000 5.824 5.748
0.000 1.641 5.691
1.955 3.971 0.119
0.000 5.830 2.994
1.955 -0.225 5.517
0.000 1.881 2.853
1.955 3.724 5.658
1.955 0.000 0.000
```

Properties
VASP energy, eV per cell: -76.35
V, Å³ per atom: 21.587
Energy relative to the elements, uncorrected, eV per atom: -1.98



## YMgTeI2 (GGA-PBE)

Data for an optimized crystal structure of YMgTeI2.

Cell and atoms, written as POSCAR:
```
YMgTeI2
1.0
5.972 0.000 0.000
0.000 5.972 0.000
0.000 0.000 5.991
Mg I Y Te
1 2 1 1
Cartesian
2.986 2.986 2.996
0.000 2.986 0.000
2.986 0.000 0.000
0.000 0.000 0.000
0.000 0.000 2.996
```

Properties
Offset from the most stable computed form, meV per atom: 0.0
VASP energy, eV per cell: -17.46
V, Å³ per atom: 42.741
Energy relative to the elements, uncorrected, eV per atom: -0.63



## CaInPb2 (GGA-PBE)

Data for an optimized crystal structure of CaInPb2.

Cell and atoms, written as POSCAR:
```
CaInPb2
1.0
5.753 0.149 0.000
-1.481 5.561 0.000
0.000 0.000 3.673
In Pb Ca
1 2 1
Cartesian
-0.741 2.781 1.837
2.136 2.855 0.000
0.000 0.000 0.000
2.877 0.075 1.837
```

Properties
VASP energy, eV per cell: -13.21
V, Å³ per atom: 29.584



## NaTb2CeS4 (GGA-PBE)

Data for an optimized crystal structure of NaTb2CeS4.

Cell and atoms, written as POSCAR:
```
NaTb2CeS4
1.0
3.960 0.000 0.000
0.000 6.893 0.141
0.000 -2.409 6.520
Ce S Na Tb
1 4 1 2
Cartesian
1.980 3.446 0.071
1.980 1.123 1.734
0.000 -0.097 4.871
0.000 4.581 1.791
1.980 3.361 4.928
0.000 0.000 0.000
1.980 -1.205 3.260
0.000 2.242 3.331
```

Properties
VASP energy, eV per cell: -48.38
V, Å³ per atom: 22.418
Energy relative to the elements, uncorrected, eV per atom: -1.92



## YPaNi17 (GGA-PBE)

Data for an optimized crystal structure of YPaNi17.

Cell and atoms, written as POSCAR:
```
YPaNi17
1.0
-0.360 5.789 -2.303
-6.217 0.514 0.178
-0.370 2.983 5.469
Ni Y Pa
17 1 1
Cartesian
-2.585 4.707 3.904
-5.525 3.466 1.244
-4.470 2.077 -0.542
-2.089 4.222 -1.551
-0.377 4.945 -0.001
-6.750 6.392 4.476
-2.581 6.117 -0.003
-4.473 1.255 1.734
-0.381 3.804 3.159
-4.341 4.577 -0.515
-3.847 9.007 3.247
-2.096 2.259 3.885
-0.717 0.958 0.345
-4.345 3.196 3.310
-1.463 5.792 2.089
-6.745 7.783 0.624
-6.271 8.383 3.019
-4.598 6.147 2.213
-2.340 3.127 1.126
```

Properties
VASP energy, eV per cell: -118.35
V, Å³ per atom: 12.521



## CaLaY2 (GGA-PBE)

Data for an optimized crystal structure of CaLaY2.

Cell and atoms, written as POSCAR:
```
CaLaY2
1.0
6.400 0.004 0.004
5.353 3.507 0.004
1.063 0.318 6.287
Ca Y La
1 2 1
Cartesian
3.204 0.957 1.574
6.365 1.902 3.213
1.106 0.331 6.222
9.613 2.872 4.722
```

Properties
Offset from the most stable computed form, meV per atom: 31.0
VASP energy, eV per cell: -19.51
V, Å³ per atom: 35.243



## Er2TeAu (GGA-PBE)

Data for an optimized crystal structure of Er2TeAu.

Cell and atoms, written as POSCAR:
```
Er2TeAu
1.0
-0.343 0.750 3.696
2.349 -2.861 0.798
5.385 4.316 -0.376
Te Er Au
1 2 1
Cartesian
3.696 1.103 2.059
1.285 1.030 -0.090
4.100 3.286 -0.286
1.003 -1.056 2.247
```

Properties
Offset from the most stable computed form, meV per atom: 197.2
VASP energy, eV per cell: -19.05
V, Å³ per atom: 24.778
Energy relative to the elements, uncorrected, eV per atom: -0.88



## Ac2LaPb2O2 (GGA-PBE)

Data for an optimized crystal structure of Ac2LaPb2O2.

Cell and atoms, written as POSCAR:
```
Ac2LaPb2O2
1.0
4.684 0.000 0.000
0.000 4.684 0.000
-2.342 -2.342 8.738
Pb La O Ac
2 1 2 2
Cartesian
0.000 0.000 3.511
2.342 2.342 5.226
0.000 0.000 0.000
2.342 0.000 0.000
0.000 2.342 0.000
0.000 0.000 6.816
2.342 2.342 1.921
```

Properties
VASP energy, eV per cell: -41.59
V, Å³ per atom: 27.383
Energy relative to the elements, uncorrected, eV per atom: -1.59



## Bi2Rh2Au (GGA-PBE)

Data for an optimized crystal structure of Bi2Rh2Au.

Cell and atoms, written as POSCAR:
```
Bi2Rh2Au
1.0
7.457 0.000 0.000
0.000 7.457 0.000
0.000 0.000 3.654
Bi Rh Au
4 4 2
Cartesian
1.195 4.924 1.827
6.262 2.534 1.827
2.534 1.195 1.827
4.924 6.262 1.827
2.689 6.417 0.000
1.040 2.689 0.000
6.417 4.769 0.000
4.769 1.040 0.000
3.729 3.729 0.000
0.000 0.000 0.000
```

Properties
Offset from the most stable computed form, meV per atom: 0.0
VASP energy, eV per cell: -51.89
V, Å³ per atom: 20.319



## Sc8TcIr2 (GGA-PBE)

Data for an optimized crystal structure of Sc8TcIr2.

Cell and atoms, written as POSCAR:
```
Sc8TcIr2
1.0
-0.048 -3.230 3.406
7.397 -1.464 -1.285
-2.106 6.662 3.057
Ir Sc Tc
2 8 1
Cartesian
0.943 1.044 4.240
4.301 0.924 0.938
2.706 2.615 2.520
-0.568 3.263 3.089
0.409 1.125 1.073
2.407 -0.476 -0.418
4.835 0.843 4.105
2.837 2.444 5.596
2.538 -0.647 2.657
5.812 -1.295 2.089
-0.024 -1.615 1.703
```

Properties
VASP energy, eV per cell: -83.63
V, Å³ per atom: 20.130



## TiMn3Al (GGA-PBE)

Data for an optimized crystal structure of TiMn3Al.

Cell and atoms, written as POSCAR:
```
TiMn3Al
1.0
-3.984 0.977 1.523
1.328 -0.923 4.066
1.229 4.164 0.544
Ti Mn Al
1 3 1
Cartesian
-0.714 2.109 3.067
0.664 -0.462 2.033
-1.992 0.488 0.762
0.614 2.082 0.272
0.000 0.000 0.000
```

Properties
Offset from the most stable computed form, meV per atom: 0.0
VASP energy, eV per cell: -34.63
V, Å³ per atom: 16.757



## K2NaZnH4 (GGA-PBE)

Data for an optimized crystal structure of K2NaZnH4.

Cell and atoms, written as POSCAR:
```
K2NaZnH4
1.0
5.449 0.000 0.000
2.725 4.778 0.000
2.725 0.000 15.904
Na H Zn K
2 8 2 4
Cartesian
6.811 2.389 7.952
0.000 0.000 0.000
9.134 3.822 14.952
5.047 3.345 7.000
3.127 1.433 7.000
5.047 1.433 8.903
4.489 3.822 0.951
3.685 0.956 0.951
8.576 3.345 8.903
4.489 0.956 14.952
4.087 2.389 7.952
2.725 0.000 0.000
5.449 0.000 5.755
6.811 2.389 13.707
6.811 2.389 2.197
2.725 0.000 10.148
```

Properties
VASP energy, eV per cell: -37.03
V, Å³ per atom: 25.879



## Dy3AlTl2 (GGA-PBE)

Data for an optimized crystal structure of Dy3AlTl2.

Cell and atoms, written as POSCAR:
```
Dy3AlTl2
1.0
3.669 0.000 0.000
0.000 3.669 0.000
0.000 0.000 11.600
Dy Tl Al
3 2 1
Cartesian
0.000 0.000 7.583
0.000 0.000 4.018
0.000 0.000 0.000
1.834 1.834 1.988
1.834 1.834 9.612
1.834 1.834 5.800
```

Properties
VASP energy, eV per cell: -24.41
V, Å³ per atom: 26.023



## Dy11Tl9In4 (GGA-PBE)

Data for an optimized crystal structure of Dy11Tl9In4.

Cell and atoms, written as POSCAR:
```
Dy11Tl9In4
1.0
-2.828 -1.731 -1.379
8.385 -8.740 -6.226
-2.086 -6.136 11.977
Tl In Dy
9 4 11
Cartesian
0.067 -9.513 7.125
-1.657 -2.301 1.611
0.245 -2.774 -1.697
1.736 -8.303 2.186
3.404 -7.094 -2.753
5.129 -14.306 2.761
3.226 -13.832 6.069
-1.471 -5.882 5.722
4.942 -10.725 -1.349
1.837 -10.322 4.512
-0.050 -5.866 2.789
3.522 -10.741 1.583
1.635 -6.285 -0.140
6.576 -11.776 1.294
1.719 -7.082 5.364
4.846 -11.444 4.425
1.453 -3.432 1.327
3.023 -10.892 7.470
-0.150 -6.617 8.613
-0.277 -3.100 4.458
0.000 0.000 0.000
3.276 -3.983 -1.719
4.581 -7.794 0.388
6.450 -8.259 -2.861
```

Properties
VASP energy, eV per cell: -90.86
V, Å³ per atom: 27.150



## TbEr3Tl4S8 (GGA-PBE)

Data for an optimized crystal structure of TbEr3Tl4S8.

Cell and atoms, written as POSCAR:
```
TbEr3Tl4S8
1.0
8.017 0.000 0.000
0.000 8.818 0.560
-4.009 -4.008 5.670
Tl Tb S Er
4 1 8 3
Cartesian
4.009 0.000 0.000
2.004 -2.004 2.835
-2.004 -2.004 2.835
0.000 0.000 0.000
0.000 4.409 0.280
0.000 4.271 3.043
4.009 0.539 3.188
4.009 4.275 3.020
-1.986 2.285 5.852
1.986 2.285 5.852
5.995 2.525 0.378
2.023 2.525 0.378
0.000 0.534 3.210
-2.004 2.405 3.115
4.009 4.409 0.280
2.004 2.405 3.115
```

Properties
VASP energy, eV per cell: -84.64
V, Å³ per atom: 26.179
Energy relative to the elements, uncorrected, eV per atom: -1.49



## CeErAs2 (GGA-PBE)

Data for an optimized crystal structure of CeErAs2.

Cell and atoms, written as POSCAR:
```
CeErAs2
1.0
-2.948 -1.570 2.415
-1.007 -3.985 -0.302
3.514 -3.441 5.571
As Ce Er
2 1 1
Cartesian
2.289 -3.038 4.337
-0.095 -2.254 1.936
0.835 -7.131 6.937
-0.176 -4.513 3.887
```

Properties
Offset from the most stable computed form, meV per atom: 165.2
VASP energy, eV per cell: -25.02
V, Å³ per atom: 25.895